A plane-wave DFT calculation with PBE was carried out for an optimized crystal structure of Lu7Ag2Te2.

POSCAR file:
```
Lu7Ag2Te2
1.0
-2.0090 7.6010 4.7714
2.0090 -7.6010 4.7714
2.0090 7.6010 -4.7714
Lu Ag Te
7 2 2
Cartesian
0.0000 0.0000 0.0000
2.0090 2.7839 -1.2003
2.0090 -2.1412 2.3080
2.0090 2.1412 2.3080
2.0090 5.6678 0.8224
0.0000 4.8170 3.5711
0.0000 1.9332 5.5938
0.0000 3.5687 0.6777
0.0000 11.6333 0.6777
0.0000 0.0000 3.2421
0.0000 7.6010 2.2355
```

Space group: Imm2
Raw total energy: -49.6 eV/cell



A plane-wave DFT calculation with PBE was carried out for an optimized crystal structure of LuAgTe.

POSCAR file:
```
LuAgTe
1.0
0.0000 3.4648 3.4648
3.4648 0.0000 3.4648
3.4648 3.4648 0.0000
Lu Ag Te
1 1 1
Cartesian
0.0000 0.0000 0.0000
3.4648 3.4648 3.4648
5.1972 5.1972 5.1972
```

Space group: F-43m
Raw total energy: -11.0 eV/cell



A plane-wave DFT calculation with PBE was carried out for an optimized crystal structure of Lu2AgTe.

POSCAR file:
```
Lu2AgTe
1.0
0.0000 3.6915 3.6915
3.6915 0.0000 3.6915
3.6915 3.6915 0.0000
Lu Ag Te
2 1 1
Cartesian
0.0000 0.0000 0.0000
1.8457 1.8457 1.8457
5.5372 5.5372 5.5372
3.6915 3.6915 3.6915
```

Space group: F-43m
Raw total energy: -14.9 eV/cell



A plane-wave DFT calculation with PBE was carried out for an optimized crystal structure of Lu2AgTe3.

POSCAR file:
```
Lu2AgTe3
1.0
7.9508 0.0000 0.0000
0.0000 4.1111 0.0000
0.0000 0.0000 20.3270
Lu Ag Te
8 4 12
Cartesian
0.5417 1.0278 3.9104
1.6281 3.0834 10.3300
2.3474 1.0278 0.1665
3.4337 3.0834 14.0739
4.5171 1.0278 6.2531
5.6035 3.0834 20.1606
6.3228 1.0278 9.9970
7.4091 3.0834 16.4166
0.7344 1.0278 12.4282
3.2410 3.0834 2.2647
4.7098 1.0278 18.0623
7.2165 3.0834 7.8988
0.3832 3.0834 1.5955
1.1672 1.0278 8.2514
1.4195 1.0278 15.1771
2.5559 3.0834 5.0136
2.8082 3.0834 18.4149
3.5922 1.0278 11.7590
4.3586 3.0834 8.5680
5.1426 1.0278 1.9121
5.3949 1.0278 15.3134
6.5313 3.0834 5.1499
6.7836 3.0834 12.0756
7.5676 1.0278 18.7315
```

Space group: Pnma
Raw total energy: -106.6 eV/cell



A plane-wave DFT calculation with PBE was carried out for an optimized crystal structure of LuThAg.

POSCAR file:
```
LuThAg
1.0
0.0000 3.4812 3.4812
3.4812 0.0000 3.4812
3.4812 3.4812 0.0000
Lu Th Ag
1 1 1
Cartesian
0.0000 0.0000 0.0000
1.7406 1.7406 1.7406
5.2217 5.2217 5.2217
```

Space group: F-43m
Raw total energy: -12.7 eV/cell



A plane-wave DFT calculation with PBE was carried out for an optimized crystal structure of LuTlAg.

POSCAR file:
```
LuTlAg
1.0
0.0000 3.4063 3.4063
3.4063 0.0000 3.4063
3.4063 3.4063 0.0000
Lu Tl Ag
1 1 1
Cartesian
0.0000 0.0000 0.0000
5.1094 5.1094 5.1094
3.4063 3.4063 3.4063
```

Space group: F-43m
Raw total energy: -9.6 eV/cell



A plane-wave DFT calculation with PBE was carried out for an optimized crystal structure of TmLuAg4.

POSCAR file:
```
TmLuAg4
1.0
3.6735 0.0000 0.0000
0.0000 3.6735 0.0000
0.0000 0.0000 9.1590
Tm Lu Ag
1 1 4
Cartesian
0.0000 0.0000 0.0000
1.8368 1.8368 4.5795
0.0000 0.0000 3.0298
0.0000 0.0000 6.1292
1.8368 1.8368 1.5524
1.8368 1.8368 7.6065
```

Space group: P4/mmm
Raw total energy: -22.4 eV/cell



A plane-wave DFT calculation with PBE was carried out for an optimized crystal structure of TmLuAg.

POSCAR file:
```
TmLuAg
1.0
0.0000 3.4303 3.4303
3.4303 0.0000 3.4303
3.4303 3.4303 0.0000
Tm Lu Ag
1 1 1
Cartesian
0.0000 0.0000 0.0000
5.1454 5.1454 5.1454
3.4303 3.4303 3.4303
```

Excess energy over the best structure of this formula in the dataset: 0.0 meV/atom
Space group: F-43m



A plane-wave DFT calculation with PBE was carried out for an optimized crystal structure of Lu2AgW.

POSCAR file:
```
Lu2AgW
1.0
0.0000 3.4545 3.4545
3.4545 0.0000 3.4545
3.4545 3.4545 0.0000
Lu Ag W
2 1 1
Cartesian
0.0000 0.0000 0.0000
1.7273 1.7273 1.7273
5.1818 5.1818 5.1818
3.4545 3.4545 3.4545
```

Space group: F-43m
Raw total energy: -22.7 eV/cell



A plane-wave DFT calculation with PBE was carried out for an optimized crystal structure of LuZnAg2.

POSCAR file:
```
LuZnAg2
1.0
0.0000 3.3662 3.3662
3.3662 0.0000 3.3662
3.3662 3.3662 0.0000
Lu Zn Ag
1 1 2
Cartesian
0.0000 0.0000 0.0000
5.0493 5.0493 5.0493
1.6831 1.6831 1.6831
3.3662 3.3662 3.3662
```

Space group: F-43m
Raw total energy: -12.3 eV/cell



A plane-wave DFT calculation with PBE was carried out for an optimized crystal structure of Lu2ZrAg.

POSCAR file:
```
Lu2ZrAg
1.0
0.0000 3.6102 3.6102
3.6102 0.0000 3.6102
3.6102 3.6102 0.0000
Lu Zr Ag
2 1 1
Cartesian
0.0000 0.0000 0.0000
1.8051 1.8051 1.8051
3.6102 3.6102 3.6102
5.4153 5.4153 5.4153
```

Space group: F-43m
Raw total energy: -19.8 eV/cell



A plane-wave DFT calculation with PBE was carried out for an optimized crystal structure of Mg54Ag17.

POSCAR file:
```
Mg54Ag17
1.0
-7.0525 7.0885 7.3047
7.0525 -7.0885 7.3047
7.0525 7.0885 -7.3047
Mg Ag
54 17
Cartesian
5.3786 4.5165 -4.1781
8.7265 4.5165 -4.1781
4.3924 2.6955 -1.5870
9.7127 2.6955 -1.5870
1.7737 1.5080 0.0000
12.3314 1.5080 0.0000
7.0525 1.6428 0.0000
0.0000 0.0000 2.1248
5.6126 0.0000 2.4052
8.4925 0.0000 2.4052
2.7195 5.4772 -2.6136
4.3331 -1.6113 4.6910
7.0525 4.5516 -1.5092
7.0525 -2.6024 5.8666
4.3924 2.6955 1.5870
9.7127 2.6955 1.5870
5.4871 7.0885 -2.4606
1.5654 0.0000 4.8440
4.5852 5.5518 0.0000
2.4673 -1.5367 7.3047
-1.6740 2.5720 3.1266
1.6740 2.5720 3.1266
0.0000 4.4862 1.4381
7.0525 4.5516 1.5092
2.7195 8.6999 -2.6136
4.3331 1.6113 4.6910
1.6129 7.0885 0.0000
5.4396 0.0000 7.3047
2.7195 5.4772 2.6136
4.3331 -1.6113 9.9183
0.0000 2.5369 5.7954
7.0525 2.6024 5.8666
5.3786 4.5165 4.1781
8.7265 4.5165 4.1781
4.5852 8.6252 0.0000
2.4673 1.5367 7.3047
5.4871 7.0885 2.4606
1.5654 0.0000 9.7653
-2.6601 4.3930 5.7176
2.6601 4.3930 5.7176
0.0000 9.6909 1.4381
0.0000 2.5369 8.8139
2.7195 8.6999 2.6136
4.3331 1.6113 9.9183
-1.4400 7.0885 4.8994
1.4400 7.0885 4.8994
0.0000 0.0000 12.4845
0.0000 5.4457 7.3047
-5.2789 5.5806 7.3047
5.2789 5.5806 7.3047
-2.6601 4.3930 8.8917
2.6601 4.3930 8.8917
-1.6740 2.5720 11.4827
1.6740 2.5720 11.4827
4.3899 0.0000 0.0000
9.7152 0.0000 0.0000
7.0525 -2.3746 3.0683
2.8344 0.0000 2.4377
11.2707 0.0000 2.4377
2.3670 4.1439 0.0000
4.6855 -2.9447 7.3047
7.0525 0.0000 4.8477
7.0525 2.3746 3.0683
0.0000 0.0000 7.3047
0.0000 4.7140 4.2364
0.0000 7.0885 2.4570
2.3670 10.0332 0.0000
4.6855 2.9447 7.3047
-4.2182 7.0885 4.8670
4.2182 7.0885 4.8670
0.0000 9.4631 4.2364
```

Space group: Immm
Raw total energy: -141.5 eV/cell